A PBEsol-optimized structure of BaZn2Pt. Source: Alexandria, functional meta-GGA SCAN.

Values from the calculation:
As for the calculated total energy: -34.2337 eV/atom. Its mass density is 8.7 Mg/m³. Its crystal system is cubic. The calculation puts the total magnetization at 0.00 μB per atom. The density of states at the Fermi level is 1.018 states/eV/f.u.

Unit cell a=4.9950 b=4.9950 c=4.9950 alpha=60.00 beta=60.00 gamma=60.00
With the nearest neighbours (Å) after each atom.
Fractional coordinates of all 4 atoms:
Zn 0.0000 0.0000 0.0000  4 Zn 3.06, 4 Pt 3.06
Zn 0.7500 0.7500 0.7500  4 Ba 3.06, 4 Zn 3.06
Ba 0.5000 0.5000 0.5000  4 Pt 3.06, 4 Zn 3.06
Pt 0.2500 0.2500 0.2500  4 Zn 3.06, 4 Ba 3.06

=====

A PBEsol-optimized structure of BaZn2Pt. Source: Alexandria, functional meta-GGA SCAN.

Values from the calculation:
As for the calculated total energy: -34.8160 eV/atom. Its mass density is 8.1 Mg/m³. Its crystal system is trigonal. The calculation puts the total magnetization at 0.00 μB per atom. The density of states at the Fermi level is 2.056 states/eV/f.u.

Unit cell a=4.4097 b=4.4097 c=6.1584 alpha=69.02 beta=69.02 gamma=60.00
With the nearest neighbours (Å) after each atom.
Fractional coordinates of all 4 atoms:
Zn 0.9902 0.9902 0.0295  3 Pt 2.55, 3 Zn 2.63
Zn 0.6952 0.6952 0.9143  3 Zn 2.63, 3 Pt 2.65
Ba 0.5078 0.5078 0.4766  1 Zn 3.15, 4 Pt 3.20-3.50
Pt 0.3175 0.3175 0.0474  6 Zn 2.55-2.65

=====

A PBEsol-optimized structure of BaZn2Pt. Source: Alexandria, functional meta-GGA SCAN.

Values from the calculation:
As for the calculated total energy: -34.4481 eV/atom. Its mass density is 9.4 Mg/m³. Its crystal system is tetragonal. The calculation puts the total magnetization at 0.00 μB per atom. The density of states at the Fermi level is 1.436 states/eV/f.u.

Unit cell a=3.3523 b=3.3523 c=7.2786 alpha=90.00 beta=90.00 gamma=90.00
With the nearest neighbours (Å) after each atom.
Fractional coordinates of all 4 atoms:
Zn 0.0000 0.0000 0.3277  1 Zn 2.51, 4 Pt 2.68
Zn 0.0000 0.0000 0.6723  1 Zn 2.51, 4 Pt 2.68
Pt 0.5000 0.5000 0.5000  8 Zn 2.68
Ba 0.5000 0.5000 0.0000  4 Ba 3.35, 8 Zn 3.36, 2 Pt 3.64

=====

A PBEsol-optimized structure of Ba2ZrPt. Source: Alexandria, functional meta-GGA SCAN.

Values from the calculation:
Its mass density is 7.3 Mg/m³. As for the distance to the lowest polymorph of the same formula: 272.4 meV/atom. Its crystal system is tetragonal. The calculation puts the total magnetization at 0.75 μB per atom. The density of states at the Fermi level is 1.994 states/eV/f.u.

Unit cell a=3.6407 b=3.6407 c=9.5632 alpha=90.00 beta=90.00 gamma=89.98
With the nearest neighbours (Å) after each atom.
Fractional coordinates of all 4 atoms:
Ba 0.0000 0.0000 0.3019  4 Pt 3.20
Ba 0.0000 0.0000 0.6981  4 Pt 3.20
Pt 0.5000 0.5000 0.5000  8 Ba 3.20
Zr 0.5000 0.5000 0.0000  4 Zr 3.64, 8 Ba 3.87

=====

A PBEsol-optimized structure of BaZrPt2. Source: Alexandria, functional meta-GGA SCAN.

Values from the calculation:
Its mass density is 11.5 Mg/m³. As for the distance to the lowest polymorph of the same formula: 0.0 meV/atom. Its crystal system is tetragonal. The calculation puts the total magnetization at 0.00 μB per atom. The density of states at the Fermi level is 2.694 states/eV/f.u.

Unit cell a=3.4242 b=3.4242 c=7.6385 alpha=90.00 beta=90.00 gamma=90.00
With the nearest neighbours (Å) after each atom.
Fractional coordinates of all 4 atoms:
Pt 0.0000 0.0000 0.8147  4 Zr 2.80, 1 Pt 2.83
Pt 0.0000 0.0000 0.1853  4 Zr 2.80, 1 Pt 2.83
Zr 0.5000 0.5000 0.0000  8 Pt 2.80
Ba 0.5000 0.5000 0.5000  8 Pt 3.41, 4 Ba 3.42, 2 Zr 3.82

=====

A PBEsol-optimized structure of BaZrPt2. Source: Alexandria, functional meta-GGA SCAN.

Values from the calculation:
Its mass density is 13.0 Mg/m³. As for the distance to the lowest polymorph of the same formula: 775.5 meV/atom. Its crystal system is cubic. The calculation puts the total magnetization at 0.00 μB per atom. The density of states at the Fermi level is 2.930 states/eV/f.u.

Unit cell a=4.8229 b=4.8229 c=4.8229 alpha=60.00 beta=60.00 gamma=60.00
With the nearest neighbours (Å) after each atom.
Fractional coordinates of all 4 atoms:
Ba 0.5000 0.5000 0.5000  4 Pt 2.95, 4 Zr 2.95
Zr 0.2500 0.2500 0.2500  4 Ba 2.95, 4 Pt 2.95
Pt 0.0000 0.0000 0.0000  4 Pt 2.95, 4 Zr 2.95
Pt 0.7500 0.7500 0.7500  4 Ba 2.95, 4 Pt 2.95